# CrTe2NO

An optimized crystal structure of CrTe2NO (PBE+U, Alexandria via LeMat-Bulk).

**E_tot**: -4.587 eV per atom
**V**: 19.95 Å³ per atom
**Offset from the most stable computed form**: 0.0 kJ/mol of atoms

Unit cell a=5.320 b=5.320 c=3.524 alpha=90.00 beta=90.00 gamma=90.00
Positions (direct):
Cr 0.000 0.000 0.000
Te 0.000 0.500 0.000
Te 0.500 0.000 0.000
N 0.000 0.000 0.500
O 0.500 0.500 0.500

***

# CrTe2NO

An optimized crystal structure of CrTe2NO (PBE+U, Alexandria via LeMat-Bulk).

**E_tot**: -4.410 eV per atom
**V**: 17.60 Å³ per atom
**Offset from the most stable computed form**: 17.1 kJ/mol of atoms

Unit cell a=4.664 b=4.664 c=4.044 alpha=90.00 beta=90.00 gamma=90.00
Positions (direct):
Cr 0.000 0.000 0.000
Te 0.000 0.500 0.500
Te 0.500 0.000 0.500
N 0.500 0.500 0.000
O 0.500 0.500 0.500